No. 1
VASP calculation (PBE-GGA) on a relaxed structure of Cd5Pd3Au.

The value obtained for the formation energy is -267 meV per atom. For the density of states at the Fermi level, the calculation gives 4.21 states/eV/f.u. Its total moment is 0.00 μB/f.u.

It has space group P6_3/mcm (No. 193), with a = 8.2661 Å, b = 8.2661 Å, c = 5.6741 Å, α = 90.00°, β = 90.00° and γ = 120.00°. The inequivalent atoms are Cd at (0.0000, 0.2978, 0.2500), Cd at (0.3333, 0.6667, 0.0000), Pd at (0.0000, 0.3746, 0.7500) and Au at (0.0000, 0.0000, 0.0000).

=====

No. 2
VASP calculation (PBE-GGA) on a relaxed structure of Cd7PdAu4.

The value obtained for the formation energy is -71 meV per atom. For the density of states at the Fermi level, the calculation gives 3.23 states/eV/f.u. Its total moment is 0.00 μB/f.u.

It has space group C2/m (No. 12), with a = 13.156 Å, b = 5.100 Å, c = 9.888 Å, α = 90.00°, β = 126.75° and γ = 90.00°. The inequivalent atoms are Cd at (0.000, 0.000, 0.000), Cd at (0.077, 0.500, 0.325), Cd at (0.154, 0.000, 0.586), Cd at (0.204, 0.500, 0.880), Pd at (0.000, 0.500, 0.000), Au at (0.065, 0.000, 0.777) and Au at (0.214, 0.000, 0.334).

=====

No. 3
VASP calculation (PBE-GGA) on a relaxed structure of Cd2PdAu3.

The value obtained for the formation energy is -180 meV per atom. For the density of states at the Fermi level, the calculation gives 1.80 states/eV/f.u. Its total moment is 0.00 μB/f.u.

It has space group P-1 (No. 2), with a = 5.101 Å, b = 6.641 Å, c = 7.295 Å, α = 67.80°, β = 88.85° and γ = 74.69°. The inequivalent atoms are Cd at (0.061, 0.124, 0.300), Cd at (0.306, 0.861, 0.044), Pd at (0.368, 0.125, 0.632), Au at (0.118, 0.370, 0.877), Au at (0.210, 0.623, 0.457) and Au at (0.474, 0.364, 0.220).

=====

No. 4
VASP calculation (PBE-GGA) on a relaxed structure of Cd6Pd2Au.

The value obtained for the formation energy is -218 meV per atom. For the density of states at the Fermi level, the calculation gives 3.09 states/eV/f.u. Its total moment is 0.00 μB/f.u.

It has space group C2/m (No. 12), with a = 9.294 Å, b = 4.280 Å, c = 9.032 Å, α = 90.00°, β = 106.61° and γ = 90.00°. The inequivalent atoms are Cd at (0.001, 0.000, 0.321), Cd at (0.165, 0.500, 0.896), Cd at (0.170, 0.500, 0.560), Pd at (0.171, 0.500, 0.227) and Au at (0.000, 0.000, 0.000).

=====

No. 5
VASP calculation (PBE-GGA) on a relaxed structure of Cd2Pd8Au.

The value obtained for the formation energy is -194 meV per atom. For the density of states at the Fermi level, the calculation gives 11.94 states/eV/f.u. Its total moment is 0.00 μB/f.u.

It has space group C2/m (No. 12), with a = 14.398 Å, b = 4.058 Å, c = 6.404 Å, α = 90.00°, β = 106.32° and γ = 90.00°. The inequivalent atoms are Cd at (0.225, 0.000, 0.146), Pd at (0.043, 0.000, 0.225), Pd at (0.091, 0.500, 0.955), Pd at (0.137, 0.000, 0.682), Pd at (0.179, 0.500, 0.408) and Au at (0.000, 0.500, 0.500).

=====

No. 6
VASP calculation (PBE-GGA) on a relaxed structure of Cd3PdAu2.

The value obtained for the formation energy is -247 meV per atom. For the density of states at the Fermi level, the calculation gives 1.51 states/eV/f.u. Its total moment is 0.00 μB/f.u.

It has space group P4/mmm (No. 123), with a = 3.235 Å, b = 3.235 Å, c = 10.803 Å, α = 90.00°, β = 90.00° and γ = 90.00°. The inequivalent atoms are Cd at (0.000, 0.000, 0.000), Cd at (0.000, 0.000, 0.344), Pd at (0.500, 0.500, 0.500) and Au at (0.500, 0.500, 0.172).

=====

No. 7
VASP calculation (PBE-GGA) on a relaxed structure of Cd3Pd4Au.

The value obtained for the formation energy is -315 meV per atom. For the density of states at the Fermi level, the calculation gives 2.45 states/eV/f.u. Its total moment is 0.00 μB/f.u.

It has space group Pmna (No. 53), with a = 8.530 Å, b = 5.738 Å, c = 5.653 Å, α = 90.00°, β = 90.00° and γ = 90.00°. The inequivalent atoms are Cd at (0.000, 0.000, 0.000), Cd at (0.250, 0.263, 0.250), Pd at (0.000, 0.000, 0.500), Pd at (0.000, 0.500, 0.500), Pd at (0.250, 0.239, 0.750) and Au at (0.000, 0.500, 0.000).

=====

No. 8
VASP calculation (PBE-GGA) on a relaxed structure of CdPd6Au.

The value obtained for the formation energy is -159 meV per atom. For the density of states at the Fermi level, the calculation gives 11.53 states/eV/f.u. Its total moment is 0.00 μB/f.u.

It has space group C2/m (No. 12), with a = 9.015 Å, b = 4.006 Å, c = 7.994 Å, α = 90.00°, β = 116.41° and γ = 90.00°. The inequivalent atoms are Cd at (0.000, 0.000, 0.000), Pd at (0.002, 0.500, 0.750), Pd at (0.250, 0.000, 0.376), Pd at (0.250, 0.000, 0.874) and Au at (0.000, 0.000, 0.500).

=====

No. 9
VASP calculation (PBE-GGA) on a relaxed structure of Cd12Pd2Au5.

The value obtained for the formation energy is -163 meV per atom. For the density of states at the Fermi level, the calculation gives 4.34 states/eV/f.u. Its total moment is 0.00 μB/f.u.

It has space group C2/m (No. 12), with a = 13.231 Å, b = 8.253 Å, c = 7.041 Å, α = 90.00°, β = 90.71° and γ = 90.00°. The inequivalent atoms are Cd at (0.063, 0.000, 0.191), Cd at (0.092, 0.500, 0.618), Cd at (0.117, 0.206, 0.848), Cd at (0.164, 0.306, 0.283), Pd at (0.000, 0.198, 0.500), Au at (0.000, 0.500, 0.000), Au at (0.187, 0.000, 0.528) and Au at (0.229, 0.500, 0.951).

=====

No. 10
VASP calculation (PBE-GGA) on a relaxed structure of Cd4Pd5Au2.

The value obtained for the formation energy is 68 meV per atom. For the density of states at the Fermi level, the calculation gives 5.23 states/eV/f.u. Its total moment is 0.00 μB/f.u.

It has space group Immm (No. 71), with a = 2.811 Å, b = 7.639 Å, c = 20.357 Å, α = 90.00°, β = 90.00° and γ = 90.00°. The inequivalent atoms are Cd at (0.000, 0.000, 0.129), Cd at (0.000, 0.315, 0.500), Pd at (0.000, 0.178, 0.380), Pd at (0.000, 0.500, 0.000) and Au at (0.000, 0.000, 0.264).

=====

No. 11
VASP calculation (PBE-GGA) on a relaxed structure of CdPd4Au4.

The value obtained for the formation energy is -165 meV per atom. For the density of states at the Fermi level, the calculation gives 4.13 states/eV/f.u. Its total moment is 0.00 μB/f.u.

It has space group I4/mmm (No. 139), with a = 8.720 Å, b = 8.720 Å, c = 4.014 Å, α = 90.00°, β = 90.00° and γ = 90.00°. The inequivalent atoms are Cd at (0.000, 0.000, 0.000), Pd at (0.167, 0.167, 0.500) and Au at (0.000, 0.330, 0.000).

=====

No. 12
VASP calculation (PBE-GGA) on a relaxed structure of Cd4Pd15Au.

The value obtained for the formation energy is -206 meV per atom. For the density of states at the Fermi level, the calculation gives 25.22 states/eV/f.u. Its total moment is 0.00 μB/f.u.

It has space group P4/mmm (No. 123), with a = 4.026 Å, b = 4.026 Å, c = 20.088 Å, α = 90.00°, β = 90.00° and γ = 90.00°. The inequivalent atoms are Cd at (0.000, 0.000, 0.100), Cd at (0.000, 0.000, 0.301), Pd at (0.000, 0.500, 0.000), Pd at (0.000, 0.500, 0.201), Pd at (0.000, 0.500, 0.401), Pd at (0.500, 0.500, 0.100), Pd at (0.500, 0.500, 0.301), Pd at (0.500, 0.500, 0.500) and Au at (0.000, 0.000, 0.500).

=====

No. 13
VASP calculation (PBE-GGA) on a relaxed structure of CdPd7Au4.

The value obtained for the formation energy is -142 meV per atom. For the density of states at the Fermi level, the calculation gives 12.24 states/eV/f.u. Its total moment is 0.00 μB/f.u.

It has space group P-1 (No. 2), with a = 4.938 Å, b = 5.728 Å, c = 7.584 Å, α = 78.61°, β = 71.23° and γ = 89.98°. The inequivalent atoms are Cd at (0.000, 0.000, 0.000), Pd at (0.000, 0.500, 0.000), Pd at (0.169, 0.918, 0.331), Pd at (0.333, 0.331, 0.668), Pd at (0.500, 0.251, 0.999), Au at (0.168, 0.421, 0.331) and Au at (0.334, 0.831, 0.666).

=====

No. 14
VASP calculation (PBE-GGA) on a relaxed structure of Cd8Pd2Au.

The value obtained for the formation energy is -208 meV per atom. For the density of states at the Fermi level, the calculation gives 2.48 states/eV/f.u. Its total moment is 0.00 μB/f.u.

It has space group Immm (No. 71), with a = 4.536 Å, b = 7.641 Å, c = 12.732 Å, α = 90.00°, β = 90.00° and γ = 90.00°. The inequivalent atoms are Cd at (0.000, 0.000, 0.149), Cd at (0.000, 0.213, 0.346), Cd at (0.000, 0.312, 0.000), Pd at (0.000, 0.500, 0.199) and Au at (0.000, 0.500, 0.500).

=====

No. 15
VASP calculation (PBE-GGA) on a relaxed structure of CdPdAu3.

The value obtained for the formation energy is 897 meV per atom. For the density of states at the Fermi level, the calculation gives 1.70 states/eV/f.u. Its total moment is 0.00 μB/f.u.

It has space group Pm-3m (No. 221), with a = 5.093 Å, b = 5.093 Å, c = 5.093 Å, α = 90.00°, β = 90.00° and γ = 90.00°. The inequivalent atoms are Cd at (0.000, 0.000, 0.000), Pd at (0.500, 0.500, 0.500) and Au at (0.000, 0.000, 0.500).

=====

No. 16
VASP calculation (PBE-GGA) on a relaxed structure of CdPd6Au.

The value obtained for the formation energy is -134 meV per atom. For the density of states at the Fermi level, the calculation gives 10.95 states/eV/f.u. Its total moment is 0.00 μB/f.u.

It has space group P-6m2 (No. 187), with a = 5.6607 Å, b = 5.6607 Å, c = 4.6762 Å, α = 90.00°, β = 90.00° and γ = 120.00°. The inequivalent atoms are Cd at (0.0000, 0.0000, 0.0000), Pd at (0.0010, 0.5005, 0.0000), Pd at (0.1685, 0.3370, 0.5000) and Au at (0.6667, 0.3333, 0.5000).

=====

No. 17
VASP calculation (PBE-GGA) on a relaxed structure of CdPd2Au2.

The value obtained for the formation energy is -65 meV per atom. For the density of states at the Fermi level, the calculation gives 2.54 states/eV/f.u. Its total moment is 0.00 μB/f.u.

It has space group P4/mbm (No. 127), with a = 7.584 Å, b = 7.584 Å, c = 3.211 Å, α = 90.00°, β = 90.00° and γ = 90.00°. The inequivalent atoms are Cd at (0.000, 0.000, 0.000), Pd at (0.159, 0.341, 0.500) and Au at (0.138, 0.638, 0.000).

=====

No. 18
VASP calculation (PBE-GGA) on a relaxed structure of Cd2Pd4Au5.

The value obtained for the formation energy is -125 meV per atom. For the density of states at the Fermi level, the calculation gives 3.89 states/eV/f.u. Its total moment is 0.00 μB/f.u.

It has space group C2/m (No. 12), with a = 19.636 Å, b = 2.910 Å, c = 6.890 Å, α = 90.00°, β = 96.88° and γ = 90.00°. The inequivalent atoms are Cd at (0.085, 0.000, 0.182), Pd at (0.042, 0.500, 0.843), Pd at (0.225, 0.000, 0.329), Au at (0.000, 0.000, 0.500), Au at (0.134, 0.500, 0.555) and Au at (0.185, 0.500, 0.968).

=====

No. 19
VASP calculation (PBE-GGA) on a relaxed structure of Cd2PdAu.

The value obtained for the formation energy is -69 meV per atom. For the density of states at the Fermi level, the calculation gives 1.42 states/eV/f.u. Its total moment is 0.00 μB/f.u.

It has space group I-42d (No. 122), with a = 7.518 Å, b = 7.518 Å, c = 5.720 Å, α = 90.00°, β = 90.00° and γ = 90.00°. The inequivalent atoms are Cd at (0.244, 0.250, 0.125), Pd at (0.000, 0.000, 0.000) and Au at (0.000, 0.000, 0.500).

=====

No. 20
VASP calculation (PBE-GGA) on a relaxed structure of Cd3PdAu4.

The value obtained for the formation energy is -198 meV per atom. For the density of states at the Fermi level, the calculation gives 2.17 states/eV/f.u. Its total moment is 0.00 μB/f.u.

It has space group C2/m (No. 12), with a = 16.994 Å, b = 4.244 Å, c = 4.242 Å, α = 90.00°, β = 104.30° and γ = 90.00°. The inequivalent atoms are Cd at (0.000, 0.000, 0.000), Cd at (0.247, 0.500, 0.747), Pd at (0.000, 0.500, 0.500), Au at (0.123, 0.000, 0.622) and Au at (0.123, 0.500, 0.122).